Material: GaBSe2
Method: DFT, PBE
State: optimized geometry

```
8
Lattice="4.424 0.000 0.000 1.703 5.922 0.000 2.137 1.167 6.664" Properties=species:S:1:pos:R:3 pbc="T T T"
B 2.807 2.768 3.824
B 4.608 6.743 6.429
Ga 5.625 3.418 5.084
Ga 1.406 2.509 2.184
Se 4.198 4.845 6.612
Se 3.930 1.301 4.769
Se 4.270 0.887 0.961
Se 4.057 4.170 3.051
```

Results
V: 21.824 A^3/atom
total energy: -17.15 eV per formula unit
formation energy without anion corrections: -0.48 eV per formula unit
excess energy over the best structure of this formula in the dataset: 0.103 eV/atom
magnetization: 0.00 μB per atom
space group: P1